--- A ---
! PBEsol AlInAs2, optimized geometry; values from VASP
&SYSTEM
  ibrav = 0, nat = 8, ntyp = 3
/
ATOMIC_SPECIES
As 74.92 As.upf
Al 26.98 Al.upf
In 114.82 In.upf
ATOMIC_POSITIONS crystal
As 0.400 0.875 0.250
As 0.850 0.375 0.250
As 0.125 0.150 0.750
As 0.625 0.600 0.750
Al 0.750 0.250 0.500
Al 0.500 0.500 0.000
In 0.250 0.750 0.500
In 0.000 0.000 0.000
CELL_PARAMETERS angstrom
5.876 0.000 0.000
0.000 5.876 0.000
-2.938 -2.938 5.859
! - Magnetic moment: 0.000 μB/cell

***

--- B ---
! PBEsol AlInAs2, optimized geometry; values from VASP
&SYSTEM
  ibrav = 0, nat = 4, ntyp = 3
/
ATOMIC_SPECIES
As 74.92 As.upf
Al 26.98 Al.upf
In 114.82 In.upf
ATOMIC_POSITIONS crystal
As 0.000 0.000 0.500
As 0.000 0.500 0.000
Al 0.500 0.000 0.000
In 0.500 0.500 0.500
CELL_PARAMETERS angstrom
-0.956 0.000 2.917
4.253 -2.352 1.394
2.235 4.476 0.733
! - Magnetic moment: 0.000 μB/cell

***

Pick A: it beats the second-best structure by 46.4 kJ/mol of atoms.

***

--- A ---
! PBEsol AlInAs2, optimized geometry; values from VASP
&SYSTEM
  ibrav = 0, nat = 4, ntyp = 3
/
ATOMIC_SPECIES
As 74.92 As.upf
Al 26.98 Al.upf
In 114.82 In.upf
ATOMIC_POSITIONS crystal
As 0.147 0.853 0.000
As 0.698 0.302 0.500
Al 0.089 0.911 0.500
In 0.557 0.443 0.000
CELL_PARAMETERS angstrom
-2.966 2.530 -1.419
1.258 -1.812 -3.514
-3.509 -3.737 0.671
! - Magnetic moment: 0.000 μB/cell

***

--- B ---
! PBEsol AlInAs2, optimized geometry; values from VASP
&SYSTEM
  ibrav = 0, nat = 4, ntyp = 3
/
ATOMIC_SPECIES
As 74.92 As.upf
Al 26.98 Al.upf
In 114.82 In.upf
ATOMIC_POSITIONS crystal
As 0.760 0.520 0.778
As 0.240 0.480 0.222
Al 0.500 0.000 0.000
In 0.000 0.000 0.500
CELL_PARAMETERS angstrom
-3.284 -1.945 -0.620
3.242 -1.056 -1.803
0.315 -2.508 6.200
! - Magnetic moment: 0.000 μB/cell

***

Pick B: it beats the second-best structure by 3.5 kJ/mol of atoms.

***

--- A ---
! PBEsol AlAsPSe2, optimized geometry; values from VASP
&SYSTEM
  ibrav = 0, nat = 5, ntyp = 4
/
ATOMIC_SPECIES
P 30.97 P.upf
As 74.92 As.upf
Al 26.98 Al.upf
Se 78.96 Se.upf
ATOMIC_POSITIONS crystal
P 0.000 0.000 0.000
As 0.500 0.000 0.000
Al 0.500 0.500 0.500
Se 0.000 0.000 0.500
Se 0.000 0.500 0.000
CELL_PARAMETERS angstrom
4.782 0.000 0.000
0.000 4.734 0.000
0.000 0.000 4.734
! - Magnetic moment: 0.000 μB/cell

***

--- B ---
! PBEsol AlAsPSe2, optimized geometry; values from VASP
&SYSTEM
  ibrav = 0, nat = 5, ntyp = 4
/
ATOMIC_SPECIES
P 30.97 P.upf
As 74.92 As.upf
Al 26.98 Al.upf
Se 78.96 Se.upf
ATOMIC_POSITIONS crystal
P 0.500 0.500 0.500
As 0.000 0.000 0.500
Al 0.000 0.000 0.000
Se 0.000 0.500 0.000
Se 0.500 0.000 0.000
CELL_PARAMETERS angstrom
-3.698 -2.589 1.389
2.157 -3.908 -1.542
2.025 -0.582 4.306
! - Magnetic moment: 0.000 μB/cell

***

Pick A: it beats the second-best structure by 15.6 kJ/mol of atoms.

***

--- A ---
! PBEsol Al2AsPb, optimized geometry; values from VASP
&SYSTEM
  ibrav = 0, nat = 4, ntyp = 3
/
ATOMIC_SPECIES
Pb 207.20 Pb.upf
As 74.92 As.upf
Al 26.98 Al.upf
ATOMIC_POSITIONS crystal
Pb 0.245 0.490 0.767
As 0.485 0.969 0.399
Al 0.012 0.024 0.065
Al 0.758 0.517 0.269
CELL_PARAMETERS angstrom
3.616 0.000 0.000
-1.808 4.378 0.020
0.000 -1.476 5.534
! - Magnetic moment: 0.000 μB/cell

***

--- B ---
! PBEsol Al2AsPb, optimized geometry; values from VASP
&SYSTEM
  ibrav = 0, nat = 4, ntyp = 3
/
ATOMIC_SPECIES
Pb 207.20 Pb.upf
As 74.92 As.upf
Al 26.98 Al.upf
ATOMIC_POSITIONS crystal
Pb 0.500 0.500 0.792
As 0.000 0.000 0.397
Al 0.000 0.000 0.031
Al 0.500 0.500 0.280
CELL_PARAMETERS angstrom
3.587 0.000 0.000
0.000 3.587 0.000
0.000 0.000 6.749
! - Magnetic moment: 0.000 μB/cell

***

--- C ---
! PBEsol Al2AsPb, optimized geometry; values from VASP
&SYSTEM
  ibrav = 0, nat = 4, ntyp = 3
/
ATOMIC_SPECIES
Pb 207.20 Pb.upf
As 74.92 As.upf
Al 26.98 Al.upf
ATOMIC_POSITIONS crystal
Pb 0.761 0.261 0.523
As 0.535 0.535 0.070
Al 0.977 0.977 0.955
Al 0.226 0.726 0.452
CELL_PARAMETERS angstrom
-1.339 2.359 -2.344
-1.496 -3.649 -2.818
-2.812 0.571 4.922
! - Magnetic moment: 0.000 μB/cell

***

--- D ---
! PBEsol Al2AsPb, optimized geometry; values from VASP
&SYSTEM
  ibrav = 0, nat = 4, ntyp = 3
/
ATOMIC_SPECIES
Pb 207.20 Pb.upf
As 74.92 As.upf
Al 26.98 Al.upf
ATOMIC_POSITIONS crystal
Pb 0.124 0.500 0.785
As 0.625 0.000 0.419
Al 0.125 0.000 0.138
Al 0.625 0.500 0.159
CELL_PARAMETERS angstrom
3.828 0.000 0.034
0.000 4.040 0.000
-0.058 0.000 6.137
! - Magnetic moment: 0.000 μB/cell

***

Pick B: it beats the second-best structure by 1.1 kJ/mol of atoms.